A plane-wave DFT calculation with GGA-PBEsol was carried out for a geometry-optimized KTlHg2 structure.

a = 3.425 Å, b = 4.928 Å, c = 6.802 Å
α = 90.00°, β = 103.81°, γ = 90.00°
Sites, in units of the cell vectors:
K1 0.000 0.000 0.000
Tl1 0.661 0.500 0.316
Hg1 0.277 0.000 0.514
Hg2 0.389 0.500 0.768

Summary:
Total DFT energy (no corrections)   -1.355 eV per atom
D(E_F)   0.441 states/eV/atom
Relative energy among the computed polymorphs   21 meV per atom
DFT formation energy   -0.131 eV/atom

=====

A plane-wave DFT calculation with GGA-PBEsol was carried out for a geometry-optimized KYHg2 structure.

a = 3.725 Å, b = 3.725 Å, c = 8.169 Å
α = 90.00°, β = 90.00°, γ = 90.00°
Sites, in units of the cell vectors:
K1 0.000 0.000 0.000
Y1 0.000 0.000 0.500
Hg1 0.500 0.500 0.298
Hg2 0.500 0.500 0.702

Summary:
Total DFT energy (no corrections)   -2.612 eV per atom
D(E_F)   0.794 states/eV/atom
DFT formation energy   -0.339 eV/atom

=====

A plane-wave DFT calculation with GGA-PBEsol was carried out for a geometry-optimized KZnHg3 structure.

a = 5.205 Å, b = 5.205 Å, c = 5.205 Å
α = 90.00°, β = 90.00°, γ = 90.00°
Sites, in units of the cell vectors:
K1 0.000 0.000 0.000
Zn1 0.500 0.500 0.500
Hg1 0.000 0.500 0.500
Hg2 0.500 0.000 0.500
Hg3 0.500 0.500 0.000

Summary:
Total DFT energy (no corrections)   -0.967 eV per atom
D(E_F)   0.412 states/eV/atom
DFT formation energy   -0.084 eV/atom

=====

A plane-wave DFT calculation with GGA-PBEsol was carried out for a geometry-optimized K2ZnHg structure.

a = 4.159 Å, b = 5.784 Å, c = 11.106 Å
α = 90.00°, β = 90.00°, γ = 90.00°
Sites, in units of the cell vectors:
K1 0.000 0.000 0.000
K2 0.000 0.500 0.196
K3 0.500 0.000 0.696
K4 0.500 0.500 0.500
Zn1 0.000 0.500 0.775
Zn2 0.500 0.000 0.275
Hg1 0.000 0.000 0.423
Hg2 0.500 0.500 0.923

Summary:
Total DFT energy (no corrections)   -1.125 eV per atom
D(E_F)   0.485 states/eV/atom
Relative energy among the computed polymorphs   19 meV per atom
DFT formation energy   -0.021 eV/atom

=====

A plane-wave DFT calculation with GGA-PBEsol was carried out for a geometry-optimized K2ZnHg structure.

a = 4.611 Å, b = 5.105 Å, c = 12.157 Å
α = 90.00°, β = 90.00°, γ = 90.00°
Sites, in units of the cell vectors:
K1 0.000 0.000 0.000
K2 0.000 0.500 0.500
K3 0.500 0.000 0.298
K4 0.500 0.500 0.798
Zn1 0.000 0.000 0.702
Zn2 0.000 0.500 0.202
Hg1 0.500 0.000 0.595
Hg2 0.500 0.500 0.095

Summary:
Total DFT energy (no corrections)   -1.144 eV per atom
D(E_F)   0.576 states/eV/atom
Relative energy among the computed polymorphs   0 meV per atom
DFT formation energy   -0.040 eV/atom

=====

A plane-wave DFT calculation with GGA-PBEsol was carried out for a geometry-optimized K2ZrHg structure.

a = 4.351 Å, b = 4.351 Å, c = 6.100 Å
α = 90.00°, β = 90.00°, γ = 90.00°
Sites, in units of the cell vectors:
K1 0.000 0.500 0.000
K2 0.500 0.000 0.000
Zr1 0.000 0.000 0.500
Hg1 0.500 0.500 0.500

Summary:
Total DFT energy (no corrections)   -2.403 eV per atom
D(E_F)   0.766 states/eV/atom
DFT formation energy   0.578 eV/atom

=====

A plane-wave DFT calculation with GGA-PBEsol was carried out for a geometry-optimized K3ZrHg structure.

a = 6.676 Å, b = 6.676 Å, c = 6.676 Å
α = 90.00°, β = 90.00°, γ = 90.00°
Sites, in units of the cell vectors:
K1 0.000 0.000 0.500
K2 0.000 0.500 0.000
K3 0.500 0.000 0.000
Zr1 0.000 0.000 0.000
Hg1 0.500 0.500 0.500

Summary:
Total DFT energy (no corrections)   -1.534 eV per atom
D(E_F)   0.843 states/eV/atom
DFT formation energy   1.077 eV/atom

=====

A plane-wave DFT calculation with GGA-PBEsol was carried out for a geometry-optimized KZr4Hg structure.

a = 5.876 Å, b = 5.876 Å, c = 5.876 Å
α = 60.00°, β = 60.00°, γ = 60.00°
Sites, in units of the cell vectors:
K1 0.000 0.000 0.000
Zr1 0.377 0.377 0.377
Zr2 0.377 0.377 0.870
Zr3 0.377 0.870 0.377
Zr4 0.870 0.377 0.377
Hg1 0.750 0.750 0.750

Summary:
Total DFT energy (no corrections)   -5.742 eV per atom
D(E_F)   0.730 states/eV/atom
DFT formation energy   0.601 eV/atom

=====

> What is the formula in the fifth record?

K2ZnHg

=====

> What is the formula in the second record?

KYHg2

=====

Repeat the eighth record exactly.
A plane-wave DFT calculation with GGA-PBEsol was carried out for a geometry-optimized KZr4Hg structure.

a = 5.876 Å, b = 5.876 Å, c = 5.876 Å
α = 60.00°, β = 60.00°, γ = 60.00°
Sites, in units of the cell vectors:
K1 0.000 0.000 0.000
Zr1 0.377 0.377 0.377
Zr2 0.377 0.377 0.870
Zr3 0.377 0.870 0.377
Zr4 0.870 0.377 0.377
Hg1 0.750 0.750 0.750

Summary:
Total DFT energy (no corrections)   -5.742 eV per atom
D(E_F)   0.730 states/eV/atom
DFT formation energy   0.601 eV/atom

=====

> Among the records above, which one has the lowest DFT formation energy?

KYHg2